Material: Mg2AgPt
Method: DFT, PBE
State: optimized geometry

Computed properties:
**Raw total energy**: -3.60 eV per atom
**Polymorph energy (0 for the lowest one)**: 0.0000 eV/atom
**Fermi-level density of states**: 1.421 states/eV per cell
**Calculated formation energy**: -0.579 eV/atom

abc: 4.5823 4.5823 4.5823
angles: 60.00 60.00 60.00
Last column: nearest neighbours and their distance in Å.
Fractional positions:
1 Mg 0.2500 0.2500 0.2500  4 Pt 2.81, 4 Ag 2.81
2 Mg 0.7500 0.7500 0.7500  4 Pt 2.81, 4 Ag 2.81
3 Ag 0.0000 0.0000 0.0000  8 Mg 2.81
4 Pt 0.5000 0.5000 0.5000  8 Mg 2.81